! Na2AlSi (GGA-PBE, optimized geometry); values from VASP
&SYSTEM
  ibrav = 0, nat = 4, ntyp = 3
/
ATOMIC_SPECIES
Na 22.99 Na.upf
Al 26.98 Al.upf
Si 28.09 Si.upf
CELL_PARAMETERS angstrom
0.0000 3.5068 3.5068
3.5068 0.0000 3.5068
3.5068 3.5068 0.0000
ATOMIC_POSITIONS angstrom
Na 1.7534 1.7534 1.7534
Na 5.2601 5.2601 5.2601
Al 0.0000 0.0000 0.0000
Si 3.5068 3.5068 3.5068
! Offset from the most stable computed form ... 0.059 eV/atom
! Volume ... 21.562 Å³ per atom
! ΔE_f (raw) ... 0.38 eV per atom

! NaAlSi (GGA-PBE, optimized geometry); values from VASP
&SYSTEM
  ibrav = 0, nat = 6, ntyp = 3
/
ATOMIC_SPECIES
Na 22.99 Na.upf
Al 26.98 Al.upf
Si 28.09 Si.upf
CELL_PARAMETERS angstrom
4.3810 0.0000 0.0000
-2.1905 3.7940 0.0000
0.0000 0.0000 7.0732
ATOMIC_POSITIONS angstrom
Na 0.0000 0.0000 0.0000
Na 0.0000 0.0000 3.5366
Al 2.1905 1.2647 1.4596
Al 2.1905 1.2647 5.6136
Si 0.0000 2.5293 2.2000
Si 0.0000 2.5293 4.8731
! Volume ... 19.594 Å³ per atom
! ΔE_f (raw) ... 0.04 eV per atom

! NaAlSi (GGA-PBE, optimized geometry); values from VASP
&SYSTEM
  ibrav = 0, nat = 6, ntyp = 3
/
ATOMIC_SPECIES
Na 22.99 Na.upf
Al 26.98 Al.upf
Si 28.09 Si.upf
CELL_PARAMETERS angstrom
7.8464 -1.8149 0.0000
7.8464 1.8149 0.0000
-1.4593 0.0000 4.6726
ATOMIC_POSITIONS angstrom
Na 0.0000 0.0000 0.0000
Na 9.0157 0.0000 2.9682
Al 3.7197 0.0000 4.0271
Al 5.9181 0.0000 1.9655
Si 3.1096 0.0000 0.9193
Si 11.9353 0.0000 2.2363
! Volume ... 22.180 Å³ per atom
! ΔE_f (raw) ... 0.10 eV per atom

! NaAlSi (GGA-PBE, optimized geometry); values from VASP
&SYSTEM
  ibrav = 0, nat = 6, ntyp = 3
/
ATOMIC_SPECIES
Na 22.99 Na.upf
Al 26.98 Al.upf
Si 28.09 Si.upf
CELL_PARAMETERS angstrom
2.1315 1.2306 8.3993
-2.1315 1.2306 8.3993
0.0000 -2.4613 8.3993
ATOMIC_POSITIONS angstrom
Na 0.0000 0.0000 3.1708
Na 0.0000 0.0000 22.0270
Al 0.0000 0.0000 9.3535
Al 0.0000 0.0000 15.8443
Si 0.0000 0.0000 6.7314
Si 0.0000 0.0000 18.4664
! Volume ... 22.032 Å³ per atom
! ΔE_f (raw) ... -0.01 eV per atom

! NaAlSi (GGA-PBE, optimized geometry); values from VASP
&SYSTEM
  ibrav = 0, nat = 6, ntyp = 3
/
ATOMIC_SPECIES
Na 22.99 Na.upf
Al 26.98 Al.upf
Si 28.09 Si.upf
CELL_PARAMETERS angstrom
4.2005 0.0000 0.0000
-2.1002 3.6377 0.0000
0.0000 0.0000 9.2786
ATOMIC_POSITIONS angstrom
Na 0.0000 0.0000 0.0000
Na 0.0000 0.0000 4.6393
Al 0.0000 2.4252 2.3196
Al 2.1002 1.2126 6.9589
Si 0.0000 2.4252 6.9589
Si 2.1002 1.2126 2.3196
! Volume ... 23.630 Å³ per atom
! ΔE_f (raw) ... 0.00 eV per atom

! NaAlSi (GGA-PBE, optimized geometry); values from VASP
&SYSTEM
  ibrav = 0, nat = 9, ntyp = 3
/
ATOMIC_SPECIES
Na 22.99 Na.upf
Al 26.98 Al.upf
Si 28.09 Si.upf
CELL_PARAMETERS angstrom
-2.1708 6.6707 3.3040
2.1708 -6.6707 3.3040
2.1708 6.6707 -3.3040
ATOMIC_POSITIONS angstrom
Na 0.0000 0.0000 0.0000
Na 2.1708 1.9589 0.3791
Na 0.0000 4.7118 3.6831
Al 0.0000 4.2753 0.3135
Al 0.0000 0.0000 3.2446
Al 0.0000 9.0661 0.3135
Si 2.1708 4.3036 -1.1098
Si 0.0000 2.3670 2.1942
Si 0.0000 6.6707 1.3420
! Volume ... 21.264 Å³ per atom
! ΔE_f (raw) ... 0.05 eV per atom

! NaAlSi (GGA-PBE, optimized geometry); values from VASP
&SYSTEM
  ibrav = 0, nat = 6, ntyp = 3
/
ATOMIC_SPECIES
Na 22.99 Na.upf
Al 26.98 Al.upf
Si 28.09 Si.upf
CELL_PARAMETERS angstrom
5.4996 0.0000 0.0000
-2.7498 4.7628 0.0000
0.0000 0.0000 8.8984
ATOMIC_POSITIONS angstrom
Na 0.0000 3.1752 2.2246
Na 2.7498 1.5876 6.6738
Al 0.0000 0.0000 2.2246
Al 0.0000 0.0000 6.6738
Si 0.0000 0.0000 0.0000
Si 0.0000 0.0000 4.4492
! Volume ... 38.847 Å³ per atom
! ΔE_f (raw) ... 0.81 eV per atom

! NaAlSi (GGA-PBE, optimized geometry); values from VASP
&SYSTEM
  ibrav = 0, nat = 6, ntyp = 3
/
ATOMIC_SPECIES
Na 22.99 Na.upf
Al 26.98 Al.upf
Si 28.09 Si.upf
CELL_PARAMETERS angstrom
6.9408 0.0000 0.0000
0.0000 5.4365 0.0000
0.0000 0.0000 3.7984
ATOMIC_POSITIONS angstrom
Na 1.7352 0.0000 0.6516
Na 5.2056 0.0000 3.1468
Al 0.0000 2.7182 0.0000
Al 3.4704 2.7182 0.0000
Si 1.7352 2.7182 1.9995
Si 5.2056 2.7182 1.7989
! Volume ... 23.888 Å³ per atom
! ΔE_f (raw) ... 0.24 eV per atom

! NaAl3Si (GGA-PBE, optimized geometry); values from VASP
&SYSTEM
  ibrav = 0, nat = 5, ntyp = 3
/
ATOMIC_SPECIES
Na 22.99 Na.upf
Al 26.98 Al.upf
Si 28.09 Si.upf
CELL_PARAMETERS angstrom
4.9435 0.0000 0.0000
0.0000 4.9435 0.0000
0.0000 0.0000 4.9435
ATOMIC_POSITIONS angstrom
Na 0.0000 0.0000 0.0000
Al 0.0000 2.4718 2.4718
Al 2.4718 0.0000 2.4718
Al 2.4718 2.4718 0.0000
Si 2.4718 2.4718 2.4718
! Offset from the most stable computed form ... 0.000 eV/atom
! Volume ... 24.163 Å³ per atom
! ΔE_f (raw) ... 0.48 eV per atom

! NaAlSi (GGA-PBE, optimized geometry); values from VASP
&SYSTEM
  ibrav = 0, nat = 12, ntyp = 3
/
ATOMIC_SPECIES
Na 22.99 Na.upf
Al 26.98 Al.upf
Si 28.09 Si.upf
CELL_PARAMETERS angstrom
5.6983 0.0000 0.0000
0.0000 7.4116 0.0000
-4.3968 0.0000 5.6508
ATOMIC_POSITIONS angstrom
Na 0.7406 1.5180 0.5291
Na -1.4578 2.1878 3.3545
Na 2.7593 5.2238 2.2964
Na 0.5609 5.8936 5.1218
Al -2.6991 4.3766 5.3666
Al -0.5007 6.7407 2.5412
Al 1.8022 0.6709 3.1096
Al 4.0006 3.0349 0.2842
Si 0.0841 4.2758 1.8535
Si -2.1143 6.8416 4.6789
Si 3.4157 0.5700 0.9719
Si 1.2174 3.1358 3.7973
! Volume ... 19.888 Å³ per atom
! ΔE_f (raw) ... 0.04 eV per atom

! NaAlSi (GGA-PBE, optimized geometry); values from VASP
&SYSTEM
  ibrav = 0, nat = 12, ntyp = 3
/
ATOMIC_SPECIES
Na 22.99 Na.upf
Al 26.98 Al.upf
Si 28.09 Si.upf
CELL_PARAMETERS angstrom
5.6727 0.0000 0.0000
-1.1468 6.9953 0.0000
-1.1238 -2.5958 6.6504
ATOMIC_POSITIONS angstrom
Na 0.0000 0.0000 0.0000
Na -0.6015 2.9329 0.7986
Na -1.2014 2.8774 3.9390
Na 1.0556 2.0470 6.5100
Al 0.0361 0.0049 4.4419
Al 0.1588 5.5748 2.4842
Al 1.6530 -1.7497 5.6354
Al 3.0224 0.1094 4.4449
Si 1.5635 1.6539 3.0603
Si 2.8470 0.3319 1.4673
Si 1.7317 4.0426 3.7174
Si 3.2067 5.6878 2.5944
! Volume ... 21.992 Å³ per atom
! ΔE_f (raw) ... 0.11 eV per atom

! NaAlSi (GGA-PBE, optimized geometry); values from VASP
&SYSTEM
  ibrav = 0, nat = 12, ntyp = 3
/
ATOMIC_SPECIES
Na 22.99 Na.upf
Al 26.98 Al.upf
Si 28.09 Si.upf
CELL_PARAMETERS angstrom
5.6494 0.0000 0.0000
-1.0005 7.2629 0.0000
-1.3158 -3.7242 6.4699
ATOMIC_POSITIONS angstrom
Na 0.0000 0.0000 0.0000
Na -0.8656 3.8253 1.3849
Na 0.1687 2.1562 3.9110
Na 1.8723 5.0242 0.5713
Al -0.9068 -1.0183 5.1534
Al 1.1337 -0.7531 2.9730
Al 1.6329 -1.6628 5.7705
Al 2.7551 0.6654 4.7566
Si 2.6426 1.0170 1.7529
Si 1.9428 4.8150 3.6674
Si 3.0777 2.7432 3.4076
Si 4.2514 -0.6167 2.6981
! Volume ... 22.122 Å³ per atom
! ΔE_f (raw) ... 0.13 eV per atom

! NaAlSi (GGA-PBE, optimized geometry); values from VASP
&SYSTEM
  ibrav = 0, nat = 6, ntyp = 3
/
ATOMIC_SPECIES
Na 22.99 Na.upf
Al 26.98 Al.upf
Si 28.09 Si.upf
CELL_PARAMETERS angstrom
7.5287 -2.6643 0.0000
7.5287 2.6643 0.0000
0.0000 0.0000 3.0592
ATOMIC_POSITIONS angstrom
Na 2.8741 0.0000 1.5177
Na 12.1832 0.0000 1.5415
Al 5.8659 0.0000 3.0590
Al 9.1915 0.0000 0.0002
Si 7.5287 1.4406 1.5296
Si 7.5287 -1.4406 1.5296
! Volume ... 20.454 Å³ per atom
! ΔE_f (raw) ... 0.15 eV per atom

! NaAlSi (GGA-PBE, optimized geometry); values from VASP
&SYSTEM
  ibrav = 0, nat = 12, ntyp = 3
/
ATOMIC_SPECIES
Na 22.99 Na.upf
Al 26.98 Al.upf
Si 28.09 Si.upf
CELL_PARAMETERS angstrom
0.0000 4.6943 6.2556
4.3928 0.0000 6.2556
4.3928 4.6943 0.0000
ATOMIC_POSITIONS angstrom
Na 1.0982 1.1736 0.1721
Na 1.0982 1.1736 2.9557
Na 7.6874 8.2151 9.5555
Na 7.6874 8.2151 12.3391
Al 3.2946 3.5207 3.0028
Al 5.4910 5.8679 6.1306
Al 3.2946 3.5207 6.3807
Al 5.4910 5.8679 9.5085
Si 3.2946 1.6069 4.6917
Si 5.4910 3.9541 7.8195
Si 3.2946 5.4346 4.6917
Si 5.4910 7.7817 7.8195
! Volume ... 21.500 Å³ per atom
! ΔE_f (raw) ... 0.06 eV per atom

! NaAlSi2 (GGA-PBE, optimized geometry); values from VASP
&SYSTEM
  ibrav = 0, nat = 8, ntyp = 3
/
ATOMIC_SPECIES
Na 22.99 Na.upf
Al 26.98 Al.upf
Si 28.09 Si.upf
CELL_PARAMETERS angstrom
-2.4645 2.4645 8.3981
2.4645 -2.4645 8.3981
2.4645 2.4645 -8.3981
ATOMIC_POSITIONS angstrom
Na 0.0000 0.0000 0.0000
Na 0.0000 2.4645 4.1991
Al 2.4645 0.0000 4.1991
Al 0.0000 0.0000 8.3981
Si 1.2323 -0.1222 6.2986
Si 2.3423 1.2323 2.0995
Si 1.2323 2.5867 -2.0995
Si 0.1222 1.2323 10.4977
! Volume ... 25.505 Å³ per atom
! ΔE_f (raw) ... 0.35 eV per atom

! NaAlSi (GGA-PBE, optimized geometry); values from VASP
&SYSTEM
  ibrav = 0, nat = 6, ntyp = 3
/
ATOMIC_SPECIES
Na 22.99 Na.upf
Al 26.98 Al.upf
Si 28.09 Si.upf
CELL_PARAMETERS angstrom
1.4758 -7.0318 0.0000
1.4758 7.0318 0.0000
0.0000 0.0000 5.5731
ATOMIC_POSITIONS angstrom
Na 0.0000 0.0000 0.0000
Na 0.0000 0.0000 2.7866
Al 1.4758 2.7241 4.1798
Al 1.4758 -2.7241 1.3933
Si 1.4758 2.2046 1.3933
Si 1.4758 -2.2046 4.1798
! Volume ... 19.278 Å³ per atom
! ΔE_f (raw) ... 0.17 eV per atom

! NaAl2Si2 (GGA-PBE, optimized geometry); values from VASP
&SYSTEM
  ibrav = 0, nat = 5, ntyp = 3
/
ATOMIC_SPECIES
Na 22.99 Na.upf
Al 26.98 Al.upf
Si 28.09 Si.upf
CELL_PARAMETERS angstrom
-2.1712 2.1712 5.3862
2.1712 -2.1712 5.3862
2.1712 2.1712 -5.3862
ATOMIC_POSITIONS angstrom
Na 0.0000 0.0000 0.0000
Al 0.0000 0.0000 4.0802
Al 0.0000 0.0000 6.6921
Si 2.1712 0.0000 2.6931
Si 0.0000 2.1712 2.6931
! Offset from the most stable computed form ... 0.129 eV/atom
! Volume ... 20.312 Å³ per atom
! ΔE_f (raw) ... 0.11 eV per atom

! NaAlSi (GGA-PBE, optimized geometry); values from VASP
&SYSTEM
  ibrav = 0, nat = 3, ntyp = 3
/
ATOMIC_SPECIES
Na 22.99 Na.upf
Al 26.98 Al.upf
Si 28.09 Si.upf
CELL_PARAMETERS angstrom
4.1921 0.0000 0.0000
-2.0961 3.6305 0.0000
0.0000 0.0000 4.7835
ATOMIC_POSITIONS angstrom
Na 0.0000 0.0000 0.0000
Al 2.0961 1.2102 2.3918
Si 0.0000 2.4203 2.3918
! Volume ... 24.268 Å³ per atom
! ΔE_f (raw) ... 0.03 eV per atom

! NaAlSi (GGA-PBE, optimized geometry); values from VASP
&SYSTEM
  ibrav = 0, nat = 6, ntyp = 3
/
ATOMIC_SPECIES
Na 22.99 Na.upf
Al 26.98 Al.upf
Si 28.09 Si.upf
CELL_PARAMETERS angstrom
4.1124 0.0000 0.0000
1.8846 5.6047 0.0000
1.7578 2.0734 5.7199
ATOMIC_POSITIONS angstrom
Na 0.0000 0.0000 0.0000
Na 2.0324 2.5226 0.0550
Al 3.7404 6.0270 2.4761
Al 4.2869 2.6159 2.7507
Si 2.2253 3.9834 2.9906
Si 5.7253 6.0542 4.0762
! Volume ... 21.973 Å³ per atom
! ΔE_f (raw) ... 0.13 eV per atom

! NaAlSi (GGA-PBE, optimized geometry); values from VASP
&SYSTEM
  ibrav = 0, nat = 12, ntyp = 3
/
ATOMIC_SPECIES
Na 22.99 Na.upf
Al 26.98 Al.upf
Si 28.09 Si.upf
CELL_PARAMETERS angstrom
-5.2934 5.2934 2.3361
5.2934 -5.2934 2.3361
5.2934 5.2934 -2.3361
ATOMIC_POSITIONS angstrom
Na 2.2734 0.0000 0.0000
Na 8.3135 0.0000 0.0000
Na 0.0000 2.2734 0.0000
Na 0.0000 8.3135 0.0000
Al 3.0780 3.0780 0.0000
Al 2.2155 -2.2155 2.3361
Al -2.2155 2.2155 2.3361
Al 2.2155 2.2155 2.3361
Si 5.2934 1.1781 0.0000
Si 1.1781 5.2934 0.0000
Si 4.1153 0.0000 2.3361
Si 0.0000 4.1153 2.3361
! Volume ... 21.820 Å³ per atom
! ΔE_f (raw) ... 0.28 eV per atom